# FePF2

Crystalline FePF2 at its relaxed geometry (GGA+U, Alexandria via LeMat-Bulk).

POSCAR file:
```
FePF2
1.0
6.795 -6.326 2.304
8.336 -3.933 2.559
6.743 -4.847 4.748
P Fe F
1 1 2
direct
0.000 0.000 0.000 P
0.500 0.500 0.500 Fe
0.877 0.877 0.877 F
0.123 0.123 0.123 F
```

Results
As for the symmetry: No. 166. The calculation puts the volume at 16.7 A^3/atom. For the distance to the lowest polymorph of the same formula, the calculation gives 0.0 kJ per mole of atoms. The calculation puts the size of the total moment at 4.0 μB per cell.